A crystal of ZnAs relaxed with PBEsol. Source: the Alexandria database, functional meta-GGA SCAN.

Output
Energy of formation from the pure elements, meV/atom: -161

Cell: 5.633 7.209 7.507 Å, 90.00 90.00 90.00°
Space group Pbca (No. 61)
Unique sites:
Zn  0.039  0.116  0.134 [8 per cell]
As  0.138  0.575  0.898 [8 per cell]

=====

A crystal of Zn3As relaxed with PBEsol. Source: the Alexandria database, functional meta-GGA SCAN.

Output
Energy of formation from the pure elements, meV/atom: 163

Cell: 3.976 3.976 3.976 Å, 90.00 90.00 90.00°
Space group Pm-3m (No. 221)
Unique sites:
Zn  0.000  0.000  0.500 [3 per cell]
As  0.500  0.500  0.500 [1 per cell]

=====

A crystal of ZnAs3 relaxed with PBEsol. Source: the Alexandria database, functional meta-GGA SCAN.

Output
Energy of formation from the pure elements, meV/atom: 422

Cell: 2.9314 2.9314 28.6105 Å, 90.00 90.00 120.00°
Space group R-3m (No. 166, hexagonal axes)
Unique sites:
Zn  0.0000  0.0000  0.0000 [3 per cell]
As  0.0000  0.0000  0.2568 [6 per cell]
As  0.0000  0.0000  0.5000 [3 per cell]

=====

A crystal of Zr3ZnAs relaxed with PBEsol. Source: the Alexandria database, functional meta-GGA SCAN.

Output
Energy of formation from the pure elements, meV/atom: 353

Cell: 4.854 4.854 4.854 Å, 90.00 90.00 90.00°
Space group Pm-3m (No. 221)
Unique sites:
Zr  0.000  0.000  0.500 [3 per cell]
Zn  0.000  0.000  0.000 [1 per cell]
As  0.500  0.500  0.500 [1 per cell]

=====

A crystal of ZrZnAs2 relaxed with PBEsol. Source: the Alexandria database, functional meta-GGA SCAN.

Output
Energy of formation from the pure elements, meV/atom: 6

Cell: 2.9784 2.9784 30.5092 Å, 90.00 90.00 120.00°
Space group R3m (No. 160, hexagonal axes)
Unique sites:
Zr  0.0000  0.0000  0.0000 [3 per cell]
Zn  0.0000  0.0000  0.7449 [3 per cell]
As  0.0000  0.0000  0.2575 [3 per cell]
As  0.0000  0.0000  0.4802 [3 per cell]

=====

A crystal of ZrZnAs2 relaxed with PBEsol. Source: the Alexandria database, functional meta-GGA SCAN.

Output
Energy of formation from the pure elements, meV/atom: -626

Cell: 10.533 3.602 3.844 Å, 90.00 94.40 90.00°
Space group Cm (No. 8)
Unique sites:
Zr  0.000  0.000  0.000 [2 per cell]
Zn  0.292  0.500  0.453 [2 per cell]
As  0.063  0.500  0.514 [2 per cell]
As  0.293  0.000  0.964 [2 per cell]

=====

A crystal of ZrZnAs2 relaxed with PBEsol. Source: the Alexandria database, functional meta-GGA SCAN.

Output
Energy of formation from the pure elements, meV/atom: -418

Cell: 5.900 5.900 11.470 Å, 90.00 90.00 90.00°
Space group I-42d (No. 122)
Unique sites:
Zr  0.000  0.000  0.000 [4 per cell]
Zn  0.000  0.000  0.500 [4 per cell]
As  0.233  0.250  0.625 [8 per cell]

=====

A crystal of ZrAs3 relaxed with PBEsol. Source: the Alexandria database, functional meta-GGA SCAN.

Output
Energy of formation from the pure elements, meV/atom: -472

Cell: 8.585 6.934 5.023 Å, 90.00 90.00 90.00°
Space group Cmcm (No. 63)
Unique sites:
Zr  0.000  0.182  0.250 [4 per cell]
As  0.000  0.405  0.750 [4 per cell]
As  0.196  0.146  0.750 [8 per cell]

=====

A crystal of ZrAs3 relaxed with PBEsol. Source: the Alexandria database, functional meta-GGA SCAN.

Output
Energy of formation from the pure elements, meV/atom: 2

Cell: 3.0645 3.0645 28.1512 Å, 90.00 90.00 120.00°
Space group R-3m (No. 166, hexagonal axes)
Unique sites:
Zr  0.0000  0.0000  0.0000 [3 per cell]
As  0.0000  0.0000  0.2550 [6 per cell]
As  0.0000  0.0000  0.5000 [3 per cell]

=====

A crystal of Zr2As relaxed with PBEsol. Source: the Alexandria database, functional meta-GGA SCAN.

Output
Energy of formation from the pure elements, meV/atom: -999

Cell: 6.483 6.483 5.488 Å, 90.00 90.00 90.00°
Space group I4/mcm (No. 140)
Unique sites:
Zr  0.159  0.341  0.000 [8 per cell]
As  0.000  0.000  0.250 [4 per cell]

=====

A crystal of Zr3As2 relaxed with PBEsol. Source: the Alexandria database, functional meta-GGA SCAN.

Output
Energy of formation from the pure elements, meV/atom: -1177

Cell: 10.492 3.719 10.062 Å, 90.00 90.00 90.00°
Space group Pnma (No. 62)
Unique sites:
Zr  0.045  0.250  0.125 [4 per cell]
Zr  0.123  0.750  0.567 [4 per cell]
Zr  0.215  0.250  0.795 [4 per cell]
As  0.029  0.750  0.320 [4 per cell]
As  0.195  0.750  0.000 [4 per cell]

=====

A crystal of Zr2As relaxed with PBEsol. Source: the Alexandria database, functional meta-GGA SCAN.

Output
Energy of formation from the pure elements, meV/atom: -994

Cell: 7.2727 7.2727 3.7959 Å, 90.00 90.00 120.00°
Space group P-62m (No. 189)
Unique sites:
Zr  0.0000  0.4094  0.0000 [3 per cell]
Zr  0.0000  0.7441  0.5000 [3 per cell]
As  0.0000  0.0000  0.0000 [1 per cell]
As  0.3333  0.6667  0.5000 [2 per cell]

=====

A crystal of Zr2As relaxed with PBEsol. Source: the Alexandria database, functional meta-GGA SCAN.

Output
Energy of formation from the pure elements, meV/atom: -784

Cell: 3.5715 3.5715 5.7749 Å, 90.00 90.00 120.00°
Space group P-3m1 (No. 164)
Unique sites:
Zr  0.3333  0.6667  0.2910 [2 per cell]
As  0.0000  0.0000  0.0000 [1 per cell]

=====

A crystal of ZrAs5 relaxed with PBEsol. Source: the Alexandria database, functional meta-GGA SCAN.

Output
Energy of formation from the pure elements, meV/atom: -211

Cell: 10.288 3.520 7.229 Å, 90.00 116.56 90.00°
Space group Cm (No. 8)
Unique sites:
Zr  0.000  0.000  0.000 [2 per cell]
As  0.075  0.000  0.658 [2 per cell]
As  0.211  0.500  0.953 [2 per cell]
As  0.231  0.500  0.335 [2 per cell]
As  0.327  0.000  0.685 [2 per cell]
As  0.485  0.000  0.283 [2 per cell]

=====

A crystal of BaB3Au relaxed with PBEsol. Source: the Alexandria database, functional meta-GGA SCAN.

Output
Energy of formation from the pure elements, meV/atom: 3122

Cell: 4.824 4.824 4.824 Å, 90.00 90.00 90.00°
Space group Pm-3m (No. 221)
Unique sites:
Ba  0.000  0.000  0.000 [1 per cell]
B  0.000  0.000  0.500 [3 per cell]
Au  0.500  0.500  0.500 [1 per cell]

=====

A crystal of BaMg2BAu relaxed with PBEsol. Source: the Alexandria database, functional meta-GGA SCAN.

Output
Energy of formation from the pure elements, meV/atom: 83

Cell: 4.847 4.847 4.491 Å, 90.00 90.00 90.00°
Space group P4/mmm (No. 123)
Unique sites:
Ba  0.000  0.000  0.000 [1 per cell]
Mg  0.000  0.500  0.500 [2 per cell]
B  0.500  0.500  0.500 [1 per cell]
Au  0.500  0.500  0.000 [1 per cell]

=====

A crystal of BaBW2Au relaxed with PBEsol. Source: the Alexandria database, functional meta-GGA SCAN.

Output
Energy of formation from the pure elements, meV/atom: 1070

Cell: 4.435 4.435 4.502 Å, 90.00 90.00 90.00°
Space group P4/mmm (No. 123)
Unique sites:
Ba  0.000  0.000  0.000 [1 per cell]
B  0.500  0.500  0.500 [1 per cell]
W  0.000  0.500  0.500 [2 per cell]
Au  0.500  0.500  0.000 [1 per cell]

=====

A crystal of BeBAu2 relaxed with PBEsol. Source: the Alexandria database, functional meta-GGA SCAN.

Output
Energy of formation from the pure elements, meV/atom: 520

Cell: 5.814 5.814 5.814 Å, 90.00 90.00 90.00°
Space group Fm-3m (No. 225)
Unique sites:
Be  0.000  0.000  0.000 [4 per cell]
B  0.000  0.000  0.500 [4 per cell]
Au  0.250  0.250  0.250 [8 per cell]

=====

A crystal of BTeAuC2 relaxed with PBEsol. Source: the Alexandria database, functional meta-GGA SCAN.

Output
Formation energy without anion corrections, eV per atom: 2.035

Cell: 3.553 3.553 6.736 Å, 90.00 90.00 90.00°
Space group P4/mmm (No. 123)
Unique sites:
B  0.000  0.000  0.000 [1 per cell]
Te  0.500  0.500  0.500 [1 per cell]
Au  0.000  0.000  0.500 [1 per cell]
C  0.000  0.500  0.000 [2 per cell]

=====

A crystal of CaB2Au relaxed with PBEsol. Source: the Alexandria database, functional meta-GGA SCAN.

Output
Energy of formation from the pure elements, meV/atom: 741

Cell: 5.955 5.955 5.955 Å, 90.00 90.00 90.00°
Space group Fm-3m (No. 225)
Unique sites:
Ca  0.000  0.000  0.000 [4 per cell]
B  0.250  0.250  0.250 [8 per cell]
Au  0.000  0.000  0.500 [4 per cell]